! Ba2Mg2Cd3 (PBE, relaxed); values from VASP
&SYSTEM
  ibrav = 0, nat = 7, ntyp = 3
/
ATOMIC_SPECIES
Ba 137.33 Ba.upf
Mg 24.30 Mg.upf
Cd 112.41 Cd.upf
CELL_PARAMETERS angstrom
5.082 0.000 0.000
-2.541 5.764 -2.368
0.000 -0.979 7.966
ATOMIC_POSITIONS crystal
Ba 0.844 0.688 0.234
Ba 0.156 0.312 0.766
Mg 0.869 0.738 0.766
Mg 0.131 0.262 0.234
Cd 0.500 0.000 0.000
Cd 0.598 0.197 0.423
Cd 0.402 0.803 0.577
! E in eV/atom: -1.60
! Energy relative to the elements in meV/atom: -199
! Magnetic moment in Bohr magnetons per cell: 0.00
! SG: C2/m, No. 12